(1)
Here is a geometry-optimized PmY7Th3 structure from Alexandria. Energies are from PBE-GGA.

a = 8.588 Å, b = 7.122 Å, c = 7.122 Å
α = 120.00°, β = 90.00°, γ = 90.00°
Fractional coordinates of all 11 atoms:
Pm (0.457, 0.333, 0.667)
Y (0.112, 0.168, 0.832)
Y (0.112, 0.168, 0.335)
Y (0.111, 0.667, 0.333)
Y (0.453, 0.832, 0.168)
Y (0.453, 0.336, 0.168)
Y (0.453, 0.832, 0.664)
Y (0.112, 0.665, 0.832)
Th (0.784, 0.501, 0.499)
Th (0.784, 0.501, 0.001)
Th (0.784, 0.999, 0.499)

Calculated values
Magnetization: 0.00 μB per formula unit
Energy above the lowest structure with this stoichiometry: 0.68 eV per formula unit
ΔH_f (0 K): 20.9 kJ/mol of atoms
Total energy: -6.352 eV/atom


(2)
Here is a geometry-optimized LaNdDy3Y structure from Alexandria. Energies are from PBE-GGA.

a = 5.942 Å, b = 6.407 Å, c = 11.883 Å
α = 90.00°, β = 90.00°, γ = 117.63°
Fractional coordinates of all 12 atoms:
La (0.501, 0.003, 0.750)
La (0.499, 0.997, 0.250)
Nd (0.000, 0.000, 0.500)
Nd (0.000, 0.000, 0.000)
Dy (0.675, 0.349, 0.499)
Dy (0.325, 0.651, 0.501)
Dy (0.325, 0.651, 0.999)
Dy (0.675, 0.349, 0.001)
Dy (0.172, 0.343, 0.750)
Dy (0.828, 0.657, 0.250)
Y (0.827, 0.655, 0.750)
Y (0.173, 0.345, 0.250)

Calculated values
Magnetization: 0.00 μB per formula unit
ΔH_f (0 K): 10.6 kJ/mol of atoms
Total energy: -4.884 eV/atom


(3)
Here is a geometry-optimized TaMnSb2 structure from Alexandria. Energies are from PBE-GGA.

a = 5.171 Å, b = 5.171 Å, c = 5.171 Å
α = 135.79°, β = 121.82°, γ = 75.87°
Fractional coordinates of all 4 atoms:
Mn (0.250, 0.750, 0.500)
Sb (0.019, 0.019, 0.000)
Sb (0.481, 0.481, 0.000)
Ta (0.750, 0.250, 0.500)

Calculated values
Magnetization: 3.92 μB per formula unit
Energy above the lowest structure with this stoichiometry: 1.04 eV per formula unit
Total energy: -7.013 eV/atom


(4)
Here is a geometry-optimized Ca2AuI structure from Alexandria. Energies are from PBE-GGA.

a = 3.790 Å, b = 3.790 Å, c = 8.161 Å
α = 90.00°, β = 90.00°, γ = 90.00°
Fractional coordinates of all 4 atoms:
I (0.500, 0.500, 0.500)
Ca (0.000, 0.000, 0.794)
Ca (0.000, 0.000, 0.206)
Au (0.500, 0.500, 0.000)

Calculated values
Magnetization: 0.00 μB per formula unit
Energy above the lowest structure with this stoichiometry: 0.32 eV per formula unit
Total energy: -3.091 eV/atom


(5)
Here is a geometry-optimized K2CdHF3 structure from Alexandria. Energies are from PBE-GGA.

a = 3.763 Å, b = 4.593 Å, c = 7.696 Å
α = 107.36°, β = 104.15°, γ = 90.00°
Fractional coordinates of all 7 atoms:
K (0.652, 0.652, 0.304)
K (0.348, 0.348, 0.696)
Cd (0.000, 0.000, 0.000)
H (0.500, 0.000, 0.000)
F (0.000, 0.500, 0.000)
F (0.165, 0.165, 0.331)
F (0.835, 0.835, 0.669)

Calculated values
Magnetization: 0.00 μB per formula unit
Total energy: -3.710 eV/atom


(6)
Here is a geometry-optimized ErThPd4 structure from Alexandria. Energies are from PBE-GGA.

a = 4.208 Å, b = 5.819 Å, c = 10.193 Å
α = 90.00°, β = 101.91°, γ = 90.00°
Fractional coordinates of all 12 atoms:
Er (0.725, 0.250, 0.450)
Er (0.275, 0.750, 0.550)
Th (0.419, 0.250, 0.839)
Th (0.581, 0.750, 0.161)
Pd (0.000, 0.000, 0.000)
Pd (0.000, 0.500, 0.000)
Pd (0.149, 0.012, 0.298)
Pd (0.851, 0.512, 0.702)
Pd (0.149, 0.488, 0.298)
Pd (0.851, 0.988, 0.702)
Pd (0.573, 0.250, 0.147)
Pd (0.427, 0.750, 0.853)

Calculated values
Magnetization: 0.00 μB per formula unit
Energy above the lowest structure with this stoichiometry: 0.00 eV per formula unit
ΔH_f (0 K): -87.7 kJ/mol of atoms
Total energy: -6.368 eV/atom


(7)
Here is a geometry-optimized CaLaYAu2 structure from Alexandria. Energies are from PBE-GGA.

a = 5.274 Å, b = 5.417 Å, c = 5.274 Å
α = 90.00°, β = 90.00°, γ = 90.00°
Fractional coordinates of all 5 atoms:
Y (0.000, 0.500, 0.000)
Ca (0.000, 0.000, 0.000)
Au (0.000, 0.000, 0.500)
Au (0.500, 0.000, 0.000)
La (0.500, 0.500, 0.500)

Calculated values
Magnetization: 0.58 μB per formula unit
ΔH_f (0 K): 27.1 kJ/mol of atoms
Total energy: -3.709 eV/atom


(8)
Here is a geometry-optimized WSe2 structure from Alexandria. Energies are from PBE-GGA.

a = 3.322 Å, b = 3.322 Å, c = 21.894 Å
α = 90.00°, β = 90.00°, γ = 120.00°
Fractional coordinates of all 9 atoms:
Se (0.667, 0.333, 0.576)
Se (0.333, 0.667, 0.405)
Se (0.333, 0.667, 0.252)
Se (0.667, 0.333, 0.730)
Se (0.333, 0.667, 0.054)
Se (0.333, 0.667, 0.901)
W (0.667, 0.333, 0.978)
W (0.667, 0.333, 0.329)
W (0.333, 0.667, 0.653)

Calculated values
Magnetization: 0.00 μB per formula unit
Total energy: -7.204 eV/atom